RbCd2AgAu | PBE-GGA | optimized geometry

Cell lengths 5.3765, 5.3765, 5.4689 Å; angles 90.00, 90.00, 90.00 degrees
Last column: nearest neighbours and their distance in Å.
Element x y z (fractional)
Au 0.0000 0.0000 0.5000  2 Ag 2.73
Cd 0.5000 0.0000 0.0000  2 Ag 2.69
Cd 0.0000 0.5000 0.0000  2 Ag 2.69
Rb 0.5000 0.5000 0.5000  4 Au 3.80, 8 Cd 3.83
Ag 0.0000 0.0000 0.0000  4 Cd 2.69, 2 Au 2.73

## Properties
DOS at the Fermi energy = 1.7 states/eV/f.u.
Calculated total energy = -1.7707 eV/atom
Relative energy among the computed polymorphs = 6.6 kJ/mol of atoms
ρ = 6.5 Mg/m³
Calculated formation energy = 15 meV per atom



La2Pr3Ga4 | PBE-GGA | optimized geometry

Cell lengths 7.3400, 8.9664, 8.7465 Å; angles 90.00, 114.81, 90.00 degrees
Last column: nearest neighbours and their distance in Å.
Element x y z (fractional)
Ga 0.7208 0.7500 0.9416  3 Pr 2.93-3.06, 2 La 3.26
Ga 0.2792 0.2500 0.0584  3 Pr 2.93-3.06, 2 La 3.26
Ga 0.2208 0.7500 0.9416  3 Pr 2.93-3.06, 2 La 3.26
Pr 0.9720 0.2500 0.4439  5 Ga 3.05-3.15
Ga 0.1891 0.9709 0.3782  5 Pr 3.01-3.15, 1 La 3.37
Ga 0.8109 0.0291 0.6218  5 Pr 3.01-3.15, 1 La 3.37
La 0.3946 0.0665 0.7891  5 Ga 3.26-3.59, 1 La 3.55
Pr 0.4720 0.2500 0.4439  5 Ga 3.05-3.15
Ga 0.7792 0.2500 0.0584  3 Pr 2.93-3.06, 2 La 3.26
Pr 0.0000 0.0000 0.0000  6 Ga 2.93-3.01
La 0.1054 0.5665 0.2109  5 Ga 3.26-3.59, 1 La 3.55
Pr 0.0280 0.7500 0.5561  5 Ga 3.05-3.15
La 0.8946 0.4335 0.7891  5 Ga 3.26-3.59, 1 La 3.55
Pr 0.5000 0.5000 0.0000  6 Ga 2.93-3.01
Pr 0.5280 0.7500 0.5561  5 Ga 3.05-3.15
Ga 0.3109 0.4709 0.6218  5 Pr 3.01-3.15, 1 La 3.37
Ga 0.6891 0.5291 0.3782  5 Pr 3.01-3.15, 1 La 3.37
La 0.6054 0.9335 0.2109  5 Ga 3.26-3.59, 1 La 3.55

## Properties
DOS at the Fermi energy = 6.2 states/eV/f.u.
Calculated total energy = -4.4342 eV/atom
Relative energy among the computed polymorphs = 11.4 kJ/mol of atoms
ρ = 6.2 Mg/m³
Calculated formation energy = -401 meV per atom



AlRu2N | PBE-GGA | optimized geometry

Cell lengths 4.0995, 4.0995, 4.0995 Å; angles 60.00, 60.00, 60.00 degrees
Last column: nearest neighbours and their distance in Å.
Element x y z (fractional)
Al 0.5000 0.5000 0.5000  8 Ru 2.51
N 0.0000 0.0000 0.0000  8 Ru 2.51
Ru 0.2500 0.2500 0.2500  4 Al 2.51, 4 N 2.51
Ru 0.7500 0.7500 0.7500  4 Al 2.51, 4 N 2.51

## Properties
DOS at the Fermi energy = 4.0 states/eV/f.u.
Calculated total energy = -6.8614 eV/atom
Relative energy among the computed polymorphs = 71.7 kJ/mol of atoms
ρ = 8.3 Mg/m³
Formation energy (no corrections) = 0.79 eV per atom



CaZr2Te | PBE-GGA | optimized geometry

Cell lengths 5.8169, 5.8169, 5.8169 Å; angles 134.72, 134.72, 65.97 degrees
Last column: nearest neighbours and their distance in Å.
Element x y z (fractional)
Zr 0.0000 0.0000 0.0000  4 Ca 3.17, 4 Te 3.31, 4 Zr 3.31
Te 0.7500 0.2500 0.5000  8 Zr 3.17-3.31, 4 Ca 3.31
Ca 0.5000 0.5000 0.0000  8 Zr 3.17-3.31, 4 Te 3.31
Zr 0.2500 0.7500 0.5000  4 Te 3.17, 4 Ca 3.31, 4 Zr 3.31

## Properties
DOS at the Fermi energy = 6.5 states/eV/f.u.
Calculated total energy = -5.6287 eV/atom
ρ = 5.9 Mg/m³
Formation energy (no corrections) = -0.07 eV per atom



Among the records above, which one has the lowest ρ? CaZr2Te



What is the ρ in the fourth record? 5.9 Mg/m³



Look up the ρ of the third one. 8.3 Mg/m³